Record 1
Here is a crystal of CaTaRe2 relaxed with PBEsol from Alexandria. Energies are from SCAN.

Output
Distance to the lowest polymorph of the same formula (meV per atom): 0.0
ρ (g/cm³): 14.2
Calculated formation energy (meV per atom): 423.7

```
4
Lattice="-1.165 -2.271 1.734 -0.732 -2.597 -3.894 5.293 0.545 1.524" Properties=species:S:1:pos:R:3 pbc="T T T"
Re 0.195 -0.085 0.020
Re 1.519 -2.049 1.082
Ca 1.854 -2.264 -1.720
Ta 4.173 -1.815 0.426
```

Record 2
Here is a crystal of CaTaRe relaxed with PBEsol from Alexandria. Energies are from SCAN.

Output
ρ (g/cm³): 11.0
Calculated formation energy (meV per atom): 2482.6

```
3
Lattice="-0.771 0.752 -4.302 1.580 -2.797 -3.058 -2.777 -2.628 -2.247" Properties=species:S:1:pos:R:3 pbc="T T T"
Ta -0.984 -2.337 -4.804
Re 0.000 0.000 0.000
Ca -0.492 -1.168 -2.402
```

Record 3
Here is a crystal of CaTaRe2 relaxed with PBEsol from Alexandria. Energies are from SCAN.

Output
Distance to the lowest polymorph of the same formula (meV per atom): 3.4
ρ (g/cm³): 14.0
Calculated formation energy (meV per atom): 427.0

```
4
Lattice="-0.523 -2.379 1.189 4.256 -1.166 -0.460 1.365 3.066 4.856" Properties=species:S:1:pos:R:3 pbc="T T T"
Ta 1.866 -1.773 0.365
Re 0.164 0.068 1.347
Re 0.677 0.619 4.699
Ca 2.810 0.950 2.198
```

Record 4
Here is a crystal of CaTaRe2 relaxed with PBEsol from Alexandria. Energies are from SCAN.

Output
Distance to the lowest polymorph of the same formula (meV per atom): 151.9
ρ (g/cm³): 14.0
Calculated formation energy (meV per atom): 575.5

```
4
Lattice="2.866 0.000 0.000 1.433 2.482 0.000 1.433 0.827 9.878" Properties=species:S:1:pos:R:3 pbc="T T T"
Re 4.299 2.482 7.562
Re 1.433 0.827 9.607
Ca 1.433 0.827 2.334
Ta 2.866 1.655 5.191
```

Record 5
Here is a crystal of CaTaRe3 relaxed with PBEsol from Alexandria. Energies are from SCAN.

Output
ρ (g/cm³): 11.7
Calculated formation energy (meV per atom): 1712.2

```
5
Lattice="4.800 0.000 0.000 0.000 4.800 0.000 0.000 0.000 4.800" Properties=species:S:1:pos:R:3 pbc="T T T"
Ta 0.000 0.000 0.000
Re 0.000 2.400 0.000
Re 0.000 0.000 2.400
Re 2.400 0.000 0.000
Ca 2.400 2.400 2.400
```

Record 6
Here is a crystal of CaTaReTe2 relaxed with PBEsol from Alexandria. Energies are from SCAN.

Output
ρ (g/cm³): 7.9
Energy relative to the elements, uncorrected (eV/atom): 2.421

```
5
Lattice="-0.684 3.429 -3.462 0.662 -3.685 -3.781 -5.228 -0.991 0.051" Properties=species:S:1:pos:R:3 pbc="T T T"
Ta -0.342 1.714 -1.731
Te 0.331 -1.843 -1.891
Te -2.614 -0.496 0.026
Ca 0.000 0.000 0.000
Re -2.625 -0.624 -3.596
```

Record 7
Here is a crystal of CaReTe relaxed with PBEsol from Alexandria. Energies are from SCAN.

Output
Distance to the lowest polymorph of the same formula (meV per atom): 0.0
ρ (g/cm³): 8.5
Energy relative to the elements, uncorrected (eV/atom): 0.580

```
3
Lattice="4.610 0.000 0.000 2.305 3.992 0.000 2.305 1.331 3.764" Properties=species:S:1:pos:R:3 pbc="T T T"
Ca 0.000 0.000 0.000
Re 4.610 2.661 1.882
Te 2.305 1.331 0.941
```

Record 8
Here is a crystal of Ca2ReTe2 relaxed with PBEsol from Alexandria. Energies are from SCAN.

Output
ρ (g/cm³): 7.2
Energy relative to the elements, uncorrected (eV/atom): -0.292

```
10
Lattice="-1.823 1.002 -3.889 -6.707 -0.179 3.098 0.546 7.195 1.597" Properties=species:S:1:pos:R:3 pbc="T T T"
Te -1.814 5.973 2.388
Te -0.898 2.407 1.041
Te -4.348 1.043 2.307
Te -5.264 4.608 3.654
Re 0.000 0.000 0.000
Re -3.081 3.508 2.348
Ca -3.127 1.569 -0.631
Ca -4.858 6.448 1.437
Ca -6.378 2.818 1.215
Ca -1.606 5.199 -0.409
```

Record 9
Here is a crystal of CaReTe3 relaxed with PBEsol from Alexandria. Energies are from SCAN.

Output
ρ (g/cm³): 6.8
Energy relative to the elements, uncorrected (eV/atom): 0.116

```
5
Lattice="-1.248 -4.218 2.976 4.045 -2.701 -2.134 3.208 1.765 3.847" Properties=species:S:1:pos:R:3 pbc="T T T"
Te -0.624 -2.109 1.488
Te 2.022 -1.351 -1.067
Te 1.604 0.882 1.924
Re 0.000 0.000 0.000
Ca 3.003 -2.577 2.345
```

Record 10
Here is a crystal of CaReTe relaxed with PBEsol from Alexandria. Energies are from SCAN.

Output
Distance to the lowest polymorph of the same formula (meV per atom): 791.2
ρ (g/cm³): 7.6
Energy relative to the elements, uncorrected (eV/atom): 1.371

```
3
Lattice="-0.294 -0.820 4.699 -4.197 -1.174 1.963 -0.727 -4.441 1.610" Properties=species:S:1:pos:R:3 pbc="T T T"
Re 0.000 0.000 0.000
Te -2.609 -3.218 4.136
Ca -1.304 -1.609 2.068
```

Record 11
Here is a crystal of CaReTe2W relaxed with PBEsol from Alexandria. Energies are from SCAN.

Output
ρ (g/cm³): 7.9
Energy relative to the elements, uncorrected (eV/atom): 1.545

```
5
Lattice="5.090 0.000 0.000 0.000 5.090 0.000 0.000 0.000 5.367" Properties=species:S:1:pos:R:3 pbc="T T T"
Te 0.000 2.545 0.000
Te 2.545 0.000 0.000
W 2.545 2.545 2.683
Re 0.000 0.000 0.000
Ca 0.000 0.000 2.683
```

Record 12
Here is a crystal of Ca2TlRe relaxed with PBEsol from Alexandria. Energies are from SCAN.

Output
Distance to the lowest polymorph of the same formula (meV per atom): 51.7
ρ (g/cm³): 8.5
Calculated formation energy (meV per atom): 567.5

```
4
Lattice="3.248 0.000 0.000 1.624 2.813 0.000 1.624 0.938 10.118" Properties=species:S:1:pos:R:3 pbc="T T T"
Ca 4.872 2.813 7.346
Ca 1.624 0.938 2.772
Tl 0.000 0.000 0.000
Re 3.248 1.875 5.059
```

Record 13
Here is a crystal of CaTlRe relaxed with PBEsol from Alexandria. Energies are from SCAN.

Output
ρ (g/cm³): 9.1
Calculated formation energy (meV per atom): 1574.6

```
3
Lattice="-2.464 3.535 -2.118 -3.079 -1.008 -3.544 -4.727 0.409 0.738" Properties=species:S:1:pos:R:3 pbc="T T T"
Tl -5.135 1.468 -2.462
Ca -2.567 0.734 -1.231
Re 0.000 0.000 0.000
```

Record 14
Here is a crystal of Ca2TlRe relaxed with PBEsol from Alexandria. Energies are from SCAN.

Output
Distance to the lowest polymorph of the same formula (meV per atom): 0.0
ρ (g/cm³): 8.8
Calculated formation energy (meV per atom): 515.8

```
4
Lattice="-4.053 -0.286 -1.838 1.859 -0.458 -4.028 1.166 -4.043 3.467" Properties=species:S:1:pos:R:3 pbc="T T T"
Ca 0.000 0.000 0.000
Ca -1.992 -2.350 -0.652
Tl 0.964 -2.437 -1.747
Re -1.097 -0.372 -2.933
```

Record 15
Here is a crystal of CaReW relaxed with PBEsol from Alexandria. Energies are from SCAN.

Output
ρ (g/cm³): 11.2
Calculated formation energy (meV per atom): 1117.3

```
3
Lattice="-3.490 -0.973 -2.518 0.259 -3.257 -2.965 -2.213 -3.760 0.655" Properties=species:S:1:pos:R:3 pbc="T T T"
Ca -2.722 -3.995 -2.414
Re -4.082 -5.993 -3.622
W 0.000 0.000 0.000
```

Record 16
Here is a crystal of CaYRe relaxed with PBEsol from Alexandria. Energies are from SCAN.

Output
ρ (g/cm³): 8.0
Calculated formation energy (meV per atom): 600.7

```
3
Lattice="-1.527 1.671 1.985 -4.308 -1.760 -1.832 2.278 -2.384 3.760" Properties=species:S:1:pos:R:3 pbc="T T T"
Re -0.682 -1.339 2.890
Y -2.875 -1.133 1.023
Ca -1.527 1.671 1.985
```

Record 17
Here is a crystal of Ca3YRe relaxed with PBEsol from Alexandria. Energies are from SCAN.

Output
ρ (g/cm³): 4.1
Calculated formation energy (meV per atom): 2052.3

```
5
Lattice="-1.660 4.710 -2.154 -4.846 -0.614 2.393 1.829 2.649 4.384" Properties=species:S:1:pos:R:3 pbc="T T T"
Re -2.338 3.373 2.311
Ca -0.830 2.355 -1.077
Ca 0.915 1.325 2.192
Ca -2.423 -0.307 1.196
Y 0.000 0.000 0.000
```

Record 18
Here is a crystal of CaZn2Re relaxed with PBEsol from Alexandria. Energies are from SCAN.

Output
ρ (g/cm³): 9.0
Calculated formation energy (meV per atom): 339.6

```
4
Lattice="-2.749 -0.213 -0.325 0.628 -2.139 -3.913 0.942 -4.556 2.641" Properties=species:S:1:pos:R:3 pbc="T T T"
Zn -1.452 -4.579 2.270
Zn -1.962 -2.400 -1.595
Re 0.438 -4.821 0.114
Ca -0.913 -2.261 1.089
```

Record 19
Here is a crystal of Ca2ZrRe relaxed with PBEsol from Alexandria. Energies are from SCAN.

Output
ρ (g/cm³): 5.7
Calculated formation energy (meV per atom): 433.4

```
4
Lattice="-0.913 -1.203 -3.056 0.085 -3.353 -0.607 -10.056 -2.356 2.031" Properties=species:S:1:pos:R:3 pbc="T T T"
Ca -7.624 -5.138 -1.403
Ca -1.021 -4.573 -3.599
Re -5.213 -3.437 -0.892
Zr -3.297 -1.777 -0.216
```

Record 20
Here is a crystal of CaZr2Re relaxed with PBEsol from Alexandria. Energies are from SCAN.

Output
Distance to the lowest polymorph of the same formula (meV per atom): 0.0
ρ (g/cm³): 7.3
Calculated formation energy (meV per atom): 241.0

```
4
Lattice="-1.592 0.600 -2.740 -2.799 -0.979 3.310 0.153 6.844 1.410" Properties=species:S:1:pos:R:3 pbc="T T T"
Re -0.796 0.300 -1.370
Zr -1.618 0.947 1.147
Zr -2.619 5.518 0.832
Ca 0.076 3.422 0.705
```